[1]
Here is a relaxed RbTlGeI4 crystal from Alexandria via LeMat-Bulk. Energies are from PBE-GGA.

- Uncorrected formation energy: -0.71 eV per atom

Lattice parameters (Å, degrees): 5.903 5.903 9.952 107.25 107.25 90.00
Positions (direct):
Ge  0.996  0.996  0.993
Rb  0.638  0.638  0.275
I  0.498  0.998  0.996
I  0.998  0.498  0.996
I  0.173  0.173  0.346
I  0.837  0.837  0.674
Tl  0.360  0.360  0.720

***

[2]
Here is a relaxed Nd6MgRh crystal from Alexandria via LeMat-Bulk. Energies are from PBE-GGA.

- DFT formation energy: 0.043 eV/atom

Lattice parameters (Å, degrees): 6.988 7.003 7.770 63.29 63.34 60.03
Positions (direct):
Nd  0.424  0.801  0.743
Nd  0.800  0.031  0.744
Nd  0.969  0.576  0.256
Nd  0.576  0.199  0.257
Nd  0.031  0.424  0.744
Nd  0.200  0.969  0.256
Mg  0.500  0.500  0.500
Rh  0.000  0.000  0.000

***

[3]
Here is a relaxed SiGeP2S crystal from Alexandria via LeMat-Bulk. Energies are from PBE-GGA.

- Uncorrected formation energy: 0.60 eV per atom
- Energy above the lowest structure with this stoichiometry: 0.00 eV per formula unit

Lattice parameters (Å, degrees): 4.537 4.537 4.523 90.00 90.00 90.00
Positions (direct):
P  0.500  0.000  0.000
P  0.000  0.500  0.000
S  0.000  0.000  0.500
Ge  0.500  0.500  0.500
Si  0.000  0.000  0.000

***

[4]
Here is a relaxed CePmPuPt crystal from Alexandria via LeMat-Bulk. Energies are from PBE-GGA.

- DFT formation energy: -0.271 eV/atom

Lattice parameters (Å, degrees): 5.167 5.167 5.167 60.00 60.00 60.00
Last column: magnetic moment on the atom in μB.
Positions (direct):
Ce  0.250  0.250  0.250  1.01
Pm  0.750  0.750  0.750  0.30
Pu  0.000  0.000  0.000  5.80
Pt  0.500  0.500  0.500  -0.01

***

[5]
Here is a relaxed Ag5BiAu8 crystal from Alexandria via LeMat-Bulk. Energies are from PBE-GGA.

- DFT formation energy: 0.070 eV/atom

Lattice parameters (Å, degrees): 7.137 7.137 7.137 110.98 106.48 110.98
Positions (direct):
Au  0.744  0.269  0.343
Au  0.524  0.598  0.256
Au  0.130  0.732  0.078
Au  0.074  0.731  0.476
Au  0.602  0.948  0.870
Au  0.346  0.268  0.398
Au  0.657  0.402  0.926
Au  0.922  0.052  0.654
Ag  0.045  0.339  0.125
Ag  0.786  0.661  0.706
Ag  0.875  0.920  0.214
Ag  0.500  0.000  0.500
Ag  0.294  0.080  0.955
Bi  0.250  0.500  0.750

***

[6]
Here is a relaxed Pm5YHoEr2 crystal from Alexandria via LeMat-Bulk. Energies are from PBE-GGA.

- DFT formation energy: 0.146 eV/atom

Lattice parameters (Å, degrees): 5.633 10.486 10.706 90.00 90.00 105.58
Positions (direct):
Ho  0.590  0.180  0.961
Ho  0.410  0.820  0.461
Er  0.885  0.770  0.813
Er  0.111  0.223  0.738
Er  0.889  0.777  0.238
Er  0.115  0.230  0.313
Pm  0.612  0.225  0.522
Pm  0.017  0.034  0.019
Pm  0.719  0.437  0.810
Pm  0.281  0.563  0.310
Pm  0.298  0.597  0.708
Pm  0.518  0.037  0.242
Pm  0.702  0.403  0.208
Pm  0.983  0.966  0.519
Pm  0.388  0.775  0.022
Pm  0.482  0.963  0.742
Y  0.800  0.601  0.511
Y  0.200  0.399  0.011

***

[7]
Here is a relaxed BaP2Rh crystal from Alexandria via LeMat-Bulk. Energies are from PBE-GGA.

- DFT formation energy: -0.789 eV/atom

Lattice parameters (Å, degrees): 3.965 4.787 5.046 89.77 90.00 90.00
Positions (direct):
Rh  0.500  0.250  0.250
Ba  0.500  0.750  0.750
P  0.000  0.977  0.248
P  0.000  0.523  0.252

***

[8]
Here is a relaxed LaCd2Pb crystal from Alexandria via LeMat-Bulk. Energies are from PBE-GGA.

- DFT formation energy: -0.060 eV/atom

Lattice parameters (Å, degrees): 10.831 10.831 10.831 18.75 18.75 18.75
Positions (direct):
Cd  0.996  0.996  0.996
Cd  0.257  0.257  0.257
La  0.503  0.503  0.503
Pb  0.745  0.745  0.745

***

[9]
Here is a relaxed TiTeI2 crystal from Alexandria via LeMat-Bulk. Energies are from PBE-GGA.

- Uncorrected formation energy: 0.37 eV per atom
- Energy above the lowest structure with this stoichiometry: 3.85 eV per formula unit

Lattice parameters (Å, degrees): 5.332 5.332 5.332 60.00 60.00 60.00
Positions (direct):
Ti  0.000  0.000  0.000
I  0.250  0.250  0.250
I  0.750  0.750  0.750
Te  0.500  0.500  0.500

***

[10]
Here is a relaxed La2Nd5Dy6 crystal from Alexandria via LeMat-Bulk. Energies are from PBE-GGA.

- DFT formation energy: 0.092 eV/atom

Lattice parameters (Å, degrees): 3.628 11.833 20.759 90.00 90.00 90.00
Positions (direct):
Nd  0.500  0.085  0.216
Nd  0.500  0.201  0.944
Nd  0.500  0.415  0.716
Nd  0.500  0.799  0.056
Nd  0.500  0.915  0.784
Nd  0.500  0.585  0.284
Nd  0.500  0.701  0.556
Nd  0.500  0.299  0.444
Nd  0.500  0.000  0.500
Nd  0.500  0.500  0.000
Dy  0.000  0.564  0.427
Dy  0.500  0.184  0.624
Dy  0.000  0.429  0.861
Dy  0.500  0.316  0.124
Dy  0.500  0.684  0.876
Dy  0.000  0.929  0.639
Dy  0.000  0.936  0.927
Dy  0.000  0.436  0.573
Dy  0.000  0.064  0.073
Dy  0.000  0.071  0.361
Dy  0.500  0.816  0.376
Dy  0.000  0.571  0.139
La  0.000  0.674  0.724
La  0.000  0.174  0.776
La  0.000  0.826  0.224
La  0.000  0.326  0.276

***

[11]
Here is a relaxed Sr3As3Pd2 crystal from Alexandria via LeMat-Bulk. Energies are from PBE-GGA.

- DFT formation energy: -0.979 eV/atom

Lattice parameters (Å, degrees): 4.391 6.105 16.120 90.00 90.00 111.08
Positions (direct):
Sr  0.567  0.134  0.250
Sr  0.856  0.713  0.408
Sr  0.856  0.713  0.092
Sr  0.144  0.287  0.592
Sr  0.144  0.287  0.908
Sr  0.433  0.866  0.750
As  0.580  0.160  0.054
As  0.420  0.840  0.554
As  0.722  0.443  0.750
As  0.420  0.840  0.946
As  0.278  0.557  0.250
As  0.580  0.160  0.446
Pd  0.145  0.289  0.379
Pd  0.145  0.289  0.121
Pd  0.855  0.711  0.621
Pd  0.855  0.711  0.879

***

[12]
Here is a relaxed CrSbS2 crystal from Alexandria via LeMat-Bulk. Energies are from PBE-GGA.

- Uncorrected formation energy: -0.13 eV per atom

Lattice parameters (Å, degrees): 6.444 4.704 9.848 90.00 90.00 90.00
Last column: magnetic moment on the atom in μB.
Positions (direct):
Sb  0.386  0.250  0.350  -0.06
Sb  0.614  0.750  0.650  -0.06
Sb  0.886  0.250  0.150  -0.05
Sb  0.114  0.750  0.850  -0.05
S  0.325  0.250  0.072  -0.08
S  0.175  0.750  0.572  -0.07
S  0.943  0.250  0.791  -0.03
S  0.443  0.250  0.709  -0.02
S  0.825  0.250  0.428  -0.07
S  0.057  0.750  0.209  -0.03
S  0.675  0.750  0.928  -0.08
S  0.557  0.750  0.291  -0.02
Cr  0.384  0.750  0.064  2.35
Cr  0.116  0.250  0.564  2.34
Cr  0.616  0.250  0.936  2.35
Cr  0.884  0.750  0.436  2.34

***

Q: Which E values were calculated for the entries above? A: -2.7357, -4.6507, -4.3973, -8.0351, -3.0983, -4.7341, -5.8129, -2.6763, -3.1593, -4.6242, -4.6517, -5.6303, in eV per atom.
Q: Which M_tot values were calculated for the entries above? A: 0.0, 0.0, 0.0, 7.8, 0.0, 0.0, 0.0, 0.0, 0.0, 0.0, 0.0, 2.3, in μB/f.u..